# 1
Below is PmZnFeC after structural relaxation, with properties calculated at the PBE level.

a b c (Å): 3.4823 3.4823 10.4906
angles (deg): 90.00 90.00 90.00
Last column: nearest neighbours and their distance in Å.
Element x y z (fractional)
Pm (0.2500, 0.2500, 0.2258)  4 C 2.85, 4 Fe 2.94
Pm (0.7500, 0.7500, 0.7742)  4 C 2.85, 4 Fe 2.94
Zn (0.2500, 0.7500, 0.5000)  4 Zn 2.46
Zn (0.7500, 0.2500, 0.5000)  4 Zn 2.46
Fe (0.2500, 0.7500, 0.0000)  4 C 1.97
Fe (0.7500, 0.2500, 0.0000)  4 C 1.97
C (0.2500, 0.2500, 0.9117)  4 Fe 1.97
C (0.7500, 0.7500, 0.0883)  4 Fe 1.97

Computed properties:
The magnetic moment is 0.000 μB/atom. The space group is P4/nmm. Its crystal system is tetragonal. The formation energy comes out at -0.14 eV/atom.

# 2
Below is Pr2Fe3C2 after structural relaxation, with properties calculated at the PBE level.

a b c (Å): 10.2603 3.4277 6.7983
angles (deg): 90.00 120.40 90.00
Last column: nearest neighbours and their distance in Å.
Element x y z (fractional)
Pr (0.1250, 0.0000, 0.2726)  3 C 2.79-2.92, 5 Fe 2.96-3.09
Pr (0.3750, 0.5000, 0.7274)  3 C 2.79-2.92, 5 Fe 2.96-3.09
Pr (0.6250, 0.5000, 0.2726)  3 C 2.79-2.92, 5 Fe 2.96-3.09
Pr (0.8750, 0.0000, 0.7274)  3 C 2.79-2.92, 5 Fe 2.96-3.09
Fe (0.0000, 0.5000, 0.5000)  2 Fe 2.38, 4 C 2.41
Fe (0.1638, 0.5000, 0.9035)  3 C 1.95-2.08
Fe (0.3362, 0.0000, 0.0965)  3 C 1.95-2.08
Fe (0.5000, 0.0000, 0.5000)  2 Fe 2.38, 4 C 2.41
Fe (0.6638, 0.0000, 0.9035)  3 C 1.95-2.08
Fe (0.8362, 0.5000, 0.0965)  3 C 1.95-2.08
C (0.1573, 0.0000, 0.7619)  3 Fe 1.95-2.08
C (0.3427, 0.5000, 0.2381)  3 Fe 1.95-2.08
C (0.6573, 0.5000, 0.7619)  3 Fe 1.95-2.08
C (0.8427, 0.0000, 0.2381)  3 Fe 1.95-2.08

Computed properties:
The magnetic moment is 0.586 μB/atom. The space group is C2/m. Its crystal system is monoclinic. The formation energy comes out at 0.20 eV/atom.

# 3
Below is Pr2Fe2C3 after structural relaxation, with properties calculated at the PBE level.

a b c (Å): 10.1394 3.5141 6.4536
angles (deg): 90.00 123.41 90.00
Last column: nearest neighbours and their distance in Å.
Element x y z (fractional)
Pr (0.0666, 0.0000, 0.3306)  3 C 2.55-2.77
Pr (0.4334, 0.5000, 0.6694)  3 C 2.55-2.77
Pr (0.5666, 0.5000, 0.3306)  3 C 2.55-2.77
Pr (0.9334, 0.0000, 0.6694)  3 C 2.55-2.77
Fe (0.2011, 0.5000, 0.0802)  4 C 1.81-1.97
Fe (0.2989, 0.0000, 0.9198)  4 C 1.81-1.97
Fe (0.7011, 0.0000, 0.0802)  4 C 1.81-1.97
Fe (0.7989, 0.5000, 0.9198)  4 C 1.81-1.97
C (0.0000, 0.5000, 0.0000)  2 Fe 1.81
C (0.2045, 0.5000, 0.7789)  3 Fe 1.96-1.97
C (0.2955, 0.0000, 0.2211)  3 Fe 1.96-1.97
C (0.5000, 0.0000, 0.0000)  2 Fe 1.81
C (0.7045, 0.0000, 0.7789)  3 Fe 1.96-1.97
C (0.7955, 0.5000, 0.2211)  3 Fe 1.96-1.97

Computed properties:
The magnetic moment is 0.000 μB/atom. The space group is C2/m. Its crystal system is monoclinic. The formation energy comes out at -0.13 eV/atom.

# 4
Below is Pr2Fe17C3 after structural relaxation, with properties calculated at the PBE level.

a b c (Å): 6.5603 6.5603 6.5603
angles (deg): 84.07 84.07 84.07
Last column: nearest neighbours and their distance in Å.
Element x y z (fractional)
Pr (0.1531, 0.1531, 0.1531)  3 C 2.54
Pr (0.8469, 0.8469, 0.8469)  3 C 2.54
Fe (0.0000, 0.5000, 0.5000)  10 Fe 2.45-2.69
Fe (0.1599, 0.1599, 0.6395)  1 C 1.91
Fe (0.1599, 0.6395, 0.1599)  1 C 1.91
Fe (0.2156, 0.5000, 0.7844)  1 C 1.89
Fe (0.2156, 0.7844, 0.5000)  1 C 1.89
Fe (0.3605, 0.8401, 0.8401)  1 C 1.91
Fe (0.4053, 0.4053, 0.4053)  1 Fe 2.36
Fe (0.5000, 0.0000, 0.5000)  10 Fe 2.45-2.69
Fe (0.5000, 0.2156, 0.7844)  1 C 1.89
Fe (0.5000, 0.5000, 0.0000)  10 Fe 2.45-2.69
Fe (0.5000, 0.7844, 0.2156)  1 C 1.89
Fe (0.5947, 0.5947, 0.5947)  1 Fe 2.36
Fe (0.6395, 0.1599, 0.1599)  1 C 1.91
Fe (0.7844, 0.2156, 0.5000)  1 C 1.89
Fe (0.7844, 0.5000, 0.2156)  1 C 1.89
Fe (0.8401, 0.3605, 0.8401)  1 C 1.91
Fe (0.8401, 0.8401, 0.3605)  1 C 1.91
C (0.0000, 0.0000, 0.5000)  4 Fe 1.89-1.91
C (0.0000, 0.5000, 0.0000)  4 Fe 1.89-1.91
C (0.5000, 0.0000, 0.0000)  4 Fe 1.89-1.91

Computed properties:
The magnetic moment is 1.613 μB/atom. The space group is R-3m. Its crystal system is trigonal. The formation energy comes out at -0.02 eV/atom.

# 5
Below is PrFeC2 after structural relaxation, with properties calculated at the PBE level.

a b c (Å): 3.9779 3.9779 17.1174
angles (deg): 90.00 90.00 120.00
Last column: nearest neighbours and their distance in Å.
Element x y z (fractional)
Pr (0.0000, 0.0000, 0.0000)  6 C 2.54
Pr (0.3333, 0.6667, 0.6667)  6 C 2.54
Pr (0.6667, 0.3333, 0.3333)  6 C 2.54
Fe (0.0000, 0.0000, 0.5000)  2 C 1.76
Fe (0.3333, 0.6667, 0.1667)  2 C 1.76
Fe (0.6667, 0.3333, 0.8333)  2 C 1.76
C (0.0000, 0.0000, 0.3973)  1 Fe 1.76
C (0.0000, 0.0000, 0.6027)  1 Fe 1.76
C (0.3333, 0.6667, 0.0640)  1 Fe 1.76
C (0.3333, 0.6667, 0.2693)  1 Fe 1.76
C (0.6667, 0.3333, 0.7307)  1 Fe 1.76
C (0.6667, 0.3333, 0.9360)  1 Fe 1.76

Computed properties:
The magnetic moment is 0.449 μB/atom. The space group is R-3m. Its crystal system is trigonal. The formation energy comes out at 1.20 eV/atom.

# 6
Below is Pr2FeC2 after structural relaxation, with properties calculated at the PBE level.

a b c (Å): 6.2520 6.2520 6.9405
angles (deg): 119.66 119.66 50.71
Last column: nearest neighbours and their distance in Å.
Element x y z (fractional)
Pr (0.0459, 0.0459, 0.2922)  4 C 2.50-2.71
Pr (0.3137, 0.3137, 0.8824)  4 C 2.55-2.68
Pr (0.6863, 0.6863, 0.1176)  4 C 2.55-2.68
Pr (0.9541, 0.9541, 0.7078)  4 C 2.50-2.71
Fe (0.3724, 0.3724, 0.3681)  3 C 1.85-1.88
Fe (0.6276, 0.6276, 0.6319)  3 C 1.85-1.88
C (0.1874, 0.1874, 0.1134)  1 Fe 1.86
C (0.4871, 0.4871, 0.6917)  2 Fe 1.85-1.88
C (0.5129, 0.5129, 0.3083)  2 Fe 1.85-1.88
C (0.8126, 0.8126, 0.8866)  1 Fe 1.86

Computed properties:
The magnetic moment is 0.151 μB/atom. The space group is C2/m. Its crystal system is monoclinic. The formation energy comes out at -0.10 eV/atom.

# 7
Below is Pr2Fe2Si2C after structural relaxation, with properties calculated at the PBE level.

a b c (Å): 10.8687 4.0115 7.0227
angles (deg): 90.00 128.32 90.00
Last column: nearest neighbours and their distance in Å.
Element x y z (fractional)
Pr (0.0583, 0.0000, 0.3006)  2 C 2.69
Pr (0.4417, 0.5000, 0.6994)  2 C 2.69
Pr (0.5583, 0.5000, 0.3006)  2 C 2.69
Pr (0.9417, 0.0000, 0.6994)  2 C 2.69
Fe (0.1941, 0.5000, 0.0858)  1 C 1.80
Fe (0.3059, 0.0000, 0.9142)  1 C 1.80
Fe (0.6941, 0.0000, 0.0858)  1 C 1.80
Fe (0.8059, 0.5000, 0.9142)  1 C 1.80
Si (0.1806, 0.5000, 0.7449)  3 Fe 2.30-2.31
Si (0.3194, 0.0000, 0.2551)  3 Fe 2.30-2.31
Si (0.6806, 0.0000, 0.7449)  3 Fe 2.30-2.31
Si (0.8194, 0.5000, 0.2551)  3 Fe 2.30-2.31
C (0.0000, 0.5000, 0.0000)  2 Fe 1.80
C (0.5000, 0.0000, 0.0000)  2 Fe 1.80

Computed properties:
The magnetic moment is 0.000 μB/atom. The space group is C2/m. Its crystal system is monoclinic. The calculation puts the uncorrected formation energy at -56 kJ/mol of atoms.

# 8
Below is PrFe2Si2C after structural relaxation, with properties calculated at the PBE level.

a b c (Å): 3.9457 3.9457 5.3030
angles (deg): 90.00 90.00 90.00
Last column: nearest neighbours and their distance in Å.
Element x y z (fractional)
Pr (0.0000, 0.0000, 0.0000)  2 C 2.65
Fe (0.0000, 0.5000, 0.5000)  2 C 1.97
Fe (0.5000, 0.0000, 0.5000)  2 C 1.97
Si (0.5000, 0.5000, 0.2372)  4 Fe 2.42, 1 Si 2.52
Si (0.5000, 0.5000, 0.7628)  4 Fe 2.42, 1 Si 2.52
C (0.0000, 0.0000, 0.5000)  4 Fe 1.97

Computed properties:
The magnetic moment is 0.335 μB/atom. The space group is P4/mmm. Its crystal system is tetragonal. The calculation puts the uncorrected formation energy at -34 kJ/mol of atoms.

# 9
Below is PrU2FeC4 after structural relaxation, with properties calculated at the PBE level.

a b c (Å): 5.9821 5.9821 11.5979
angles (deg): 90.00 90.00 145.46
Last column: nearest neighbours and their distance in Å.
Element x y z (fractional)
Pr (0.1002, 0.8998, 0.7500)  6 C 2.74-2.88, 1 Fe 3.02
Pr (0.8998, 0.1002, 0.2500)  6 C 2.74-2.88, 1 Fe 3.02
U (0.3690, 0.6310, 0.5507)  6 C 2.35-2.40
U (0.3690, 0.6310, 0.9493)  6 C 2.35-2.40
U (0.6310, 0.3690, 0.0507)  6 C 2.35-2.40
U (0.6310, 0.3690, 0.4493)  6 C 2.35-2.40
Fe (0.1640, 0.8360, 0.2500)  4 C 1.85-2.01
Fe (0.8360, 0.1640, 0.7500)  4 C 1.85-2.01
C (0.0000, 0.0000, 0.0000)  4 U 2.40
C (0.0000, 0.0000, 0.5000)  4 U 2.40
C (0.2543, 0.7457, 0.1177)  1 Fe 1.85
C (0.2543, 0.7457, 0.3823)  1 Fe 1.85
C (0.4180, 0.5820, 0.7500)  2 Fe 2.01
C (0.5820, 0.4180, 0.2500)  2 Fe 2.01
C (0.7457, 0.2543, 0.6177)  1 Fe 1.85
C (0.7457, 0.2543, 0.8823)  1 Fe 1.85

Computed properties:
The magnetic moment is 0.000 μB/atom. The space group is Cmcm. Its crystal system is orthorhombic. The formation energy comes out at -0.08 eV/atom.

# 10
Below is Pr2ZnFeC after structural relaxation, with properties calculated at the PBE level.

a b c (Å): 5.2650 5.2650 3.6872
angles (deg): 90.00 90.00 90.00
Last column: nearest neighbours and their distance in Å.
Element x y z (fractional)
Pr (0.0000, 0.5000, 0.0000)  2 C 2.63
Pr (0.5000, 0.0000, 0.0000)  2 C 2.63
Zn (0.0000, 0.0000, 0.5000)  8 Pr 3.21
Fe (0.5000, 0.5000, 0.5000)  2 C 1.84
C (0.5000, 0.5000, 0.0000)  2 Fe 1.84

Computed properties:
The magnetic moment is 0.053 μB/atom. The space group is P4/mmm. Its crystal system is tetragonal. The formation energy comes out at -0.18 eV/atom.

# 11
Below is Fe3PtC after structural relaxation, with properties calculated at the PBE level.

a b c (Å): 4.6883 4.6883 4.6883
angles (deg): 90.00 90.00 90.00
Last column: nearest neighbours and their distance in Å.
Element x y z (fractional)
Fe (0.0000, 0.0000, 0.5000)  2 Pt 2.34
Fe (0.0000, 0.5000, 0.0000)  2 Pt 2.34
Fe (0.5000, 0.0000, 0.0000)  2 Pt 2.34
Pt (0.0000, 0.0000, 0.0000)  6 Fe 2.34
C (0.5000, 0.5000, 0.5000)  12 Fe 3.32

Computed properties:
The magnetic moment is 1.887 μB/atom. The space group is Pm-3m. Its crystal system is cubic. The formation energy comes out at 2.28 eV/atom.

# 12
Below is FePtC after structural relaxation, with properties calculated at the PBE level.

a b c (Å): 4.3828 2.7435 5.9936
angles (deg): 90.00 102.42 90.00
Last column: nearest neighbours and their distance in Å.
Element x y z (fractional)
Fe (0.0000, 0.0000, 0.0000)  4 C 2.03-2.06
Fe (0.4282, 0.0000, 0.7812)  4 C 1.97-2.15
Pt (0.3073, 0.5000, 0.3811)  1 C 2.09
Pt (0.8562, 0.0000, 0.5377)  3 Fe 2.61-2.71, 6 Pt 2.73-2.75
C (0.3583, 0.5000, 0.0428)  1 C 1.41
C (0.6548, 0.5000, 0.9885)  1 C 1.41

Computed properties:
The magnetic moment is 0.704 μB/atom. The space group is Pm. Its crystal system is monoclinic. The formation energy comes out at 0.35 eV/atom.